Entry 1:
The following is a GGA-PBE calculation of a relaxed NdSmCd crystal, from Alexandria via LeMat-Bulk.

Unit cell a=3.7299 b=3.7299 c=13.1345 alpha=90.00 beta=90.00 gamma=90.00
Space group I4mm (No. 107)
One atom of each set of equivalent atoms:
Nd (0.0000, 0.0000, 0.0000) [2 per cell]
Sm (0.0000, 0.0000, 0.3098) [2 per cell]
Cd (0.0000, 0.0000, 0.6581) [2 per cell]

Calculated values
Total moment in μB/cell: 0.02
Crystal system: tetragonal
E in eV/atom: -3.666
Formation energy from the elements in eV per formula unit: -0.596
DOS(E_F) in states/eV/cell: 8.53
E above lowest polymorph in meV/atom: 0.0


Entry 2:
The following is a GGA-PBE calculation of a relaxed Nd3Sm3Cd crystal, from Alexandria via LeMat-Bulk.

Unit cell a=8.6638 b=8.6638 c=21.9494 alpha=90.00 beta=90.00 gamma=120.00
Space group R-3 (No. 148, hexagonal axes)
One atom of each set of equivalent atoms:
Nd (0.0460, 0.2701, 0.0561) [18 per cell]
Sm (0.0436, 0.2592, 0.2149) [18 per cell]
Cd (0.0000, 0.0000, 0.3352) [6 per cell]

Calculated values
Total moment in μB/cell: 0.00
Crystal system: trigonal
E in eV/atom: -4.058
Formation energy from the elements in eV per formula unit: 0.971
DOS(E_F) in states/eV/cell: 46.37
E above lowest polymorph in meV/atom: 173.6


Entry 3:
The following is a GGA-PBE calculation of a relaxed Nd2SmCd3 crystal, from Alexandria via LeMat-Bulk.

Unit cell a=3.8387 b=3.8387 c=11.5667 alpha=90.00 beta=90.00 gamma=90.00
Space group P4/mmm (No. 123)
One atom of each set of equivalent atoms:
Nd (0.0000, 0.0000, 0.1682) [2 per cell]
Sm (0.0000, 0.0000, 0.5000) [1 per cell]
Cd (0.5000, 0.5000, 0.0000) [1 per cell]
Cd (0.5000, 0.5000, 0.3376) [2 per cell]

Calculated values
Total moment in μB/cell: 1.15
Crystal system: tetragonal
E in eV/atom: -3.150
Formation energy from the elements in eV per formula unit: -1.901
DOS(E_F) in states/eV/cell: 7.31
E above lowest polymorph in meV/atom: 2.1


Entry 4:
The following is a GGA-PBE calculation of a relaxed NdSm5Cd3 crystal, from Alexandria via LeMat-Bulk.

Unit cell a=9.3917 b=9.3917 c=7.0697 alpha=90.00 beta=90.00 gamma=120.00
Space group P6_3/mcm (No. 193)
One atom of each set of equivalent atoms:
Nd (0.0000, 0.0000, 0.0000) [2 per cell]
Sm (0.0000, 0.3323, 0.2500) [6 per cell]
Sm (0.3333, 0.6667, 0.0000) [4 per cell]
Cd (0.0000, 0.3360, 0.7500) [6 per cell]

Calculated values
Total moment in μB/cell: 0.00
Crystal system: hexagonal
E in eV/atom: -3.624
Formation energy from the elements in eV per formula unit: -1.505
DOS(E_F) in states/eV/cell: 19.55


Entry 5:
The following is a GGA-PBE calculation of a relaxed Nd3SmCd2 crystal, from Alexandria via LeMat-Bulk.

Unit cell a=3.7767 b=3.7767 c=12.9376 alpha=90.00 beta=90.00 gamma=90.00
Space group P4/mmm (No. 123)
One atom of each set of equivalent atoms:
Nd (0.0000, 0.0000, 0.0000) [1 per cell]
Nd (0.0000, 0.0000, 0.3066) [2 per cell]
Sm (0.5000, 0.5000, 0.5000) [1 per cell]
Cd (0.5000, 0.5000, 0.1543) [2 per cell]

Calculated values
Total moment in μB/cell: 0.27
Crystal system: tetragonal
E in eV/atom: -3.676
Formation energy from the elements in eV per formula unit: -1.202
DOS(E_F) in states/eV/cell: 6.90


Entry 6:
The following is a GGA-PBE calculation of a relaxed Nd2Sm3Cd2 crystal, from Alexandria via LeMat-Bulk.

Unit cell a=5.5290 b=5.5290 c=24.4803 alpha=90.00 beta=90.00 gamma=120.00
Space group R-3m (No. 166, hexagonal axes)
One atom of each set of equivalent atoms:
Nd (0.0000, 0.0000, 0.0751) [6 per cell]
Sm (0.0000, 0.0000, 0.3427) [6 per cell]
Sm (0.0000, 0.0000, 0.5000) [3 per cell]
Cd (0.0000, 0.0000, 0.2118) [6 per cell]

Calculated values
Total moment in μB/cell: 0.00
Crystal system: trigonal
E in eV/atom: -3.799
Formation energy from the elements in eV per formula unit: -1.069
DOS(E_F) in states/eV/cell: 21.99
E above lowest polymorph in meV/atom: 0.0


Entry 7:
The following is a GGA-PBE calculation of a relaxed Nd2Sm6Cd crystal, from Alexandria via LeMat-Bulk.

Unit cell a=5.6479 b=6.6131 c=16.0812 alpha=90.00 beta=90.03 gamma=90.00
Space group P2_1/c (No. 14)
One atom of each set of equivalent atoms:
Nd (0.9997, 0.2275, 0.1968) [4 per cell]
Sm (0.0004, 0.2484, 0.4477) [4 per cell]
Sm (0.4994, 0.0843, 0.5947) [4 per cell]
Sm (0.5004, 0.0881, 0.8088) [4 per cell]
Cd (0.5000, 0.0000, 0.0000) [2 per cell]

Calculated values
Total moment in μB/cell: 0.00
Crystal system: monoclinic
E in eV/atom: -4.313
Formation energy from the elements in eV per formula unit: -0.055
DOS(E_F) in states/eV/cell: 25.94


Entry 8:
The following is a GGA-PBE calculation of a relaxed NdSm2Cd3 crystal, from Alexandria via LeMat-Bulk.

Unit cell a=5.4130 b=5.4130 c=6.6310 alpha=90.00 beta=90.00 gamma=120.00
Space group P-3m1 (No. 164)
One atom of each set of equivalent atoms:
Nd (0.0000, 0.0000, 0.0000) [1 per cell]
Sm (0.3333, 0.6667, 0.6647) [2 per cell]
Cd (0.0000, 0.0000, 0.5000) [1 per cell]
Cd (0.3333, 0.6667, 0.1682) [2 per cell]

Calculated values
Total moment in μB/cell: 1.34
Crystal system: trigonal
E in eV/atom: -3.144
Formation energy from the elements in eV per formula unit: -1.910
DOS(E_F) in states/eV/cell: 6.65


Entry 9:
The following is a GGA-PBE calculation of a relaxed NdSm3Cd4 crystal, from Alexandria via LeMat-Bulk.

Unit cell a=5.3818 b=5.3818 c=7.7249 alpha=90.00 beta=90.00 gamma=90.00
Space group P4/mmm (No. 123)
One atom of each set of equivalent atoms:
Nd (0.0000, 0.0000, 0.0000) [1 per cell]
Sm (0.0000, 0.0000, 0.5000) [1 per cell]
Sm (0.5000, 0.5000, 0.0000) [1 per cell]
Sm (0.5000, 0.5000, 0.5000) [1 per cell]
Cd (0.0000, 0.5000, 0.2526) [4 per cell]

Calculated values
Total moment in μB/cell: 1.65
Crystal system: tetragonal
E in eV/atom: -3.141
Formation energy from the elements in eV per formula unit: -2.542
DOS(E_F) in states/eV/cell: 9.18


Entry 10:
The following is a GGA-PBE calculation of a relaxed Nd2SmCd crystal, from Alexandria via LeMat-Bulk.

Unit cell a=3.6762 b=3.6762 c=33.3509 alpha=90.00 beta=90.00 gamma=120.00
Space group R3m (No. 160, hexagonal axes)
One atom of each set of equivalent atoms:
Nd (0.0000, 0.0000, 0.0000) [3 per cell]
Nd (0.0000, 0.0000, 0.1784) [3 per cell]
Sm (0.0000, 0.0000, 0.4222) [3 per cell]
Cd (0.0000, 0.0000, 0.5892) [3 per cell]

Calculated values
Total moment in μB/cell: 0.00
Crystal system: trigonal
E in eV/atom: -3.845
Formation energy from the elements in eV per formula unit: -0.211
DOS(E_F) in states/eV/cell: 12.67
E above lowest polymorph in meV/atom: 93.7


Entry 11:
The following is a GGA-PBE calculation of a relaxed Nd3Sm4Cd crystal, from Alexandria via LeMat-Bulk.

Unit cell a=11.5051 b=7.1828 c=6.3122 alpha=90.00 beta=90.00 gamma=90.00
Space group Pmn2_1 (No. 31)
One atom of each set of equivalent atoms:
Nd (0.0000, 0.1271, 0.0000) [2 per cell]
Nd (0.2347, 0.1197, 0.6454) [4 per cell]
Sm (0.0000, 0.3888, 0.4570) [2 per cell]
Sm (0.0000, 0.6329, 0.9904) [2 per cell]
Sm (0.2367, 0.6296, 0.6408) [4 per cell]
Cd (0.0000, 0.8749, 0.4720) [2 per cell]

Calculated values
Total moment in μB/cell: 0.00
Crystal system: orthorhombic
E in eV/atom: -4.303
Formation energy from the elements in eV per formula unit: -0.330
DOS(E_F) in states/eV/cell: 18.07
E above lowest polymorph in meV/atom: 26.8